(1)
Ac3La5Te8 | PBE-GGA | optimized geometry

```
Ac3La5Te8
1.0
8.049 0.000 4.611
2.704 7.582 4.611
0.025 0.018 9.288
Ac La Te
3 5 8
Direct
0.500 0.000 0.500
0.000 0.000 0.500
0.000 0.500 0.500
0.500 0.000 0.000
0.500 0.500 0.000
0.000 0.000 0.000
0.000 0.500 0.000
0.500 0.500 0.500
0.250 0.250 0.756
0.250 0.744 0.756
0.744 0.250 0.756
0.747 0.747 0.760
0.750 0.750 0.244
0.750 0.256 0.244
0.256 0.750 0.244
0.253 0.253 0.240
```

Calculated values
Final energy (eV/atom): -5.4338


(2)
Ba6Ge2SeI3 | PBE-GGA | optimized geometry

```
Ba6Ge2SeI3
1.0
4.735 0.000 0.000
0.000 10.371 0.157
-2.368 -3.202 10.589
Ba Ge Se I
6 2 1 3
Direct
0.339 0.895 0.679
0.677 0.561 0.354
0.661 0.105 0.321
0.012 0.230 0.025
0.988 0.770 0.975
0.323 0.439 0.646
0.836 0.674 0.672
0.164 0.326 0.328
0.500 0.000 0.000
0.500 0.500 0.000
0.837 0.168 0.674
0.163 0.832 0.326
```

Calculated values
Final energy (eV/atom): -3.6657


(3)
RbTlSn2O | PBE-GGA | optimized geometry

```
RbTlSn2O
1.0
-2.910 -4.597 -1.439
2.355 0.679 -6.931
4.467 -3.205 1.204
O Tl Sn Rb
1 1 2 1
Direct
0.500 0.500 0.500
0.000 0.000 0.000
0.000 0.000 0.500
0.500 0.000 0.000
0.000 0.500 0.000
```

Calculated values
Final energy (eV/atom): -2.5211


(4)
HoZn7Au12 | PBE-GGA | optimized geometry

```
HoZn7Au12
1.0
-0.256 -5.221 -6.409
7.595 3.209 0.640
-1.866 -4.074 6.951
Ho Zn Au
1 7 12
Direct
0.000 0.000 0.000
0.500 0.000 0.500
0.500 0.500 0.000
0.000 0.500 0.500
0.000 0.000 0.500
0.500 0.000 0.000
0.500 0.500 0.500
0.000 0.500 0.000
0.276 0.153 0.430
0.276 0.847 0.123
0.724 0.847 0.570
0.724 0.153 0.877
0.430 0.276 0.153
0.877 0.724 0.153
0.570 0.724 0.847
0.123 0.276 0.847
0.847 0.123 0.276
0.153 0.877 0.724
0.153 0.430 0.276
0.847 0.570 0.724
```

Calculated values
Formation energy (kcal/mol of atoms): -1.0


(5)
CaTa2Tl | PBE-GGA | optimized geometry

```
CaTa2Tl
1.0
-6.367 -3.469 4.040
5.323 -4.324 4.676
-0.471 -1.798 6.240
Tl Ca Ta
2 2 4
Direct
0.000 0.000 0.000
0.750 0.250 0.500
0.500 0.500 0.000
0.250 0.750 0.500
0.653 0.125 0.250
0.097 0.625 0.250
0.375 0.347 0.750
0.875 0.903 0.750
```

Calculated values
Energy above the most stable polymorph in this dataset (kJ/mol of formula units): 340
Formation energy (kcal/mol of atoms): 26.5


(6)
Ho2ThPa | PBE-GGA | optimized geometry

```
Ho2ThPa
1.0
3.403 0.000 0.000
0.000 3.403 0.000
0.000 0.000 10.194
Pa Ho Th
1 2 1
Direct
0.500 0.500 0.500
0.000 0.000 0.734
0.000 0.000 0.266
0.500 0.500 0.000
```

Calculated values
Energy above the most stable polymorph in this dataset (kJ/mol of formula units): 0
Formation energy (kcal/mol of atoms): 3.7


(7)
TbZrAgRu | PBE-GGA | optimized geometry

```
TbZrAgRu
1.0
4.863 0.000 0.000
2.432 4.212 0.000
2.432 1.404 3.971
Ru Tb Zr Ag
1 1 1 1
Direct
0.250 0.250 0.250
0.500 0.500 0.500
0.000 0.000 0.000
0.750 0.750 0.750
```

Calculated values
Formation energy (kcal/mol of atoms): -5.6


(8)
Ca2Ge5Pt3 | PBE-GGA | optimized geometry

```
Ca2Ge5Pt3
1.0
6.241 0.000 0.000
3.121 7.933 -0.094
3.121 1.130 7.853
Ca Ge Pt
4 10 6
Direct
0.133 0.599 0.135
0.633 0.135 0.599
0.867 0.401 0.865
0.367 0.865 0.401
0.397 0.259 0.947
0.897 0.947 0.259
0.603 0.741 0.053
0.103 0.053 0.741
0.479 0.771 0.771
0.521 0.229 0.229
0.750 0.500 0.500
0.250 0.500 0.500
0.021 0.229 0.229
0.979 0.771 0.771
0.362 0.524 0.751
0.862 0.751 0.524
0.638 0.476 0.249
0.138 0.249 0.476
0.250 0.000 0.000
0.750 0.000 0.000
```

Calculated values
Energy above the most stable polymorph in this dataset (kJ/mol of formula units): 0
Formation energy (kcal/mol of atoms): -16.2